# 1
Material: Sm8SiSe6
Method: DFT, PBE
State: optimized geometry

a = 10.5764 Å, b = 10.5764 Å, c = 4.1851 Å
α = 90.00°, β = 90.00°, γ = 120.00°
Sites, in units of the cell vectors:
Sm (0.0311, 0.7241, 0.2560)
Sm (0.2759, 0.3070, 0.2560)
Sm (0.3070, 0.0311, 0.7440)
Sm (0.3333, 0.6667, 0.7482)
Sm (0.6667, 0.3333, 0.2518)
Sm (0.6930, 0.9689, 0.2560)
Sm (0.7241, 0.6930, 0.7440)
Sm (0.9689, 0.2759, 0.7440)
Si (0.0000, 0.0000, 0.5000)
Se (0.1285, 0.4800, 0.2498)
Se (0.3515, 0.8715, 0.2498)
Se (0.4800, 0.3515, 0.7502)
Se (0.5200, 0.6485, 0.2498)
Se (0.6485, 0.1285, 0.7502)
Se (0.8715, 0.5200, 0.7502)

The calculation puts the formation energy (no corrections) at -1311 meV/atom. The final energy is -5.58 eV/atom. For the total moment, the calculation gives 0.000 μB per atom. Its space group is P-3. The crystal system is trigonal.


# 2
Material: Sm5SiSe4
Method: DFT, PBE
State: optimized geometry

a = 7.2663 Å, b = 7.2663 Å, c = 7.2663 Å
α = 99.49°, β = 99.49°, γ = 132.08°
Sites, in units of the cell vectors:
Sm (0.0000, 0.0000, 0.0000)
Sm (0.2102, 0.5961, 0.8063)
Sm (0.4039, 0.2102, 0.6141)
Sm (0.5961, 0.7898, 0.3859)
Sm (0.7898, 0.4039, 0.1937)
Si (0.5000, 0.5000, 0.0000)
Se (0.0982, 0.3017, 0.3998)
Se (0.3017, 0.9018, 0.2035)
Se (0.6983, 0.0982, 0.7965)
Se (0.9018, 0.6983, 0.6002)

The calculation puts the formation energy (no corrections) at -1668 meV/atom. The final energy is -5.96 eV/atom. For the total moment, the calculation gives 0.000 μB per atom. Its space group is I4/m. The crystal system is tetragonal.


# 3
Material: Sm2SiSe
Method: DFT, PBE
State: optimized geometry

a = 4.1922 Å, b = 4.1922 Å, c = 20.8534 Å
α = 90.00°, β = 90.00°, γ = 120.00°
Sites, in units of the cell vectors:
Sm (0.0000, 0.0000, 0.2462)
Sm (0.0000, 0.0000, 0.7538)
Sm (0.3333, 0.6667, 0.4204)
Sm (0.3333, 0.6667, 0.9129)
Sm (0.6667, 0.3333, 0.0871)
Sm (0.6667, 0.3333, 0.5796)
Si (0.0000, 0.0000, 0.5000)
Si (0.3333, 0.6667, 0.1667)
Si (0.6667, 0.3333, 0.8333)
Se (0.0000, 0.0000, 0.0000)
Se (0.3333, 0.6667, 0.6667)
Se (0.6667, 0.3333, 0.3333)

The calculation puts the formation energy (no corrections) at -1305 meV/atom. For the energy relative to the lowest polymorph listed for this composition, the calculation gives 25.5 meV per atom. The final energy is -5.89 eV/atom. For the total moment, the calculation gives 0.000 μB per atom. Its space group is R-3m. The crystal system is trigonal.


# 4
Material: Sm3SiSe2
Method: DFT, PBE
State: optimized geometry

a = 7.2805 Å, b = 7.2805 Å, c = 7.2561 Å
α = 99.73°, β = 99.73°, γ = 119.78°
Sites, in units of the cell vectors:
Sm (0.0000, 0.5000, 0.5000)
Sm (0.1584, 0.3162, 0.9999)
Sm (0.3162, 0.1584, 0.4999)
Sm (0.5000, 0.0000, 0.0000)
Sm (0.6838, 0.8416, 0.5001)
Sm (0.8416, 0.6838, 0.0001)
Si (0.0862, 0.9138, 0.7500)
Si (0.9138, 0.0862, 0.2500)
Se (0.2526, 0.7474, 0.2500)
Se (0.4171, 0.5829, 0.7500)
Se (0.5829, 0.4171, 0.2500)
Se (0.7474, 0.2526, 0.7500)

The calculation puts the formation energy (no corrections) at -1544 meV/atom. For the energy relative to the lowest polymorph listed for this composition, the calculation gives 0.0 meV per atom. The final energy is -5.97 eV/atom. For the total moment, the calculation gives 0.000 μB per atom. Its space group is C2/c. The crystal system is monoclinic.


# 5
Material: Sm5SiSe5
Method: DFT, PBE
State: optimized geometry

a = 7.2645 Å, b = 7.2645 Å, c = 8.3547 Å
α = 106.71°, β = 106.71°, γ = 47.88°
Sites, in units of the cell vectors:
Sm (0.0000, 0.0000, 0.0000)
Sm (0.3379, 0.3379, 0.6698)
Sm (0.3411, 0.3411, 0.1710)
Sm (0.6589, 0.6589, 0.8290)
Sm (0.6621, 0.6621, 0.3302)
Si (0.5000, 0.5000, 0.0000)
Se (0.1698, 0.1698, 0.3338)
Se (0.1699, 0.1699, 0.8369)
Se (0.5000, 0.5000, 0.5000)
Se (0.8301, 0.8301, 0.1631)
Se (0.8302, 0.8302, 0.6662)

The calculation puts the formation energy (no corrections) at -1705 meV/atom. The final energy is -5.93 eV/atom. For the total moment, the calculation gives 0.000 μB per atom. Its space group is C2/m. The crystal system is monoclinic.


# 6
Material: Sm3SiSe6
Method: DFT, PBE
State: optimized geometry

a = 9.0477 Å, b = 9.0477 Å, c = 6.8984 Å
α = 90.00°, β = 90.00°, γ = 102.20°
Sites, in units of the cell vectors:
Sm (0.0967, 0.9033, 0.5000)
Sm (0.2210, 0.4145, 0.4024)
Sm (0.4145, 0.2210, 0.9024)
Sm (0.5855, 0.7790, 0.4024)
Sm (0.7790, 0.5855, 0.9024)
Sm (0.9033, 0.0967, 0.0000)
Si (0.2981, 0.7019, 0.8582)
Si (0.7019, 0.2981, 0.3582)
Se (0.0705, 0.5994, 0.6915)
Se (0.1280, 0.1955, 0.7008)
Se (0.1955, 0.1280, 0.2008)
Se (0.2843, 0.7157, 0.2078)
Se (0.4006, 0.9295, 0.6915)
Se (0.4572, 0.5428, 0.7269)
Se (0.5428, 0.4572, 0.2269)
Se (0.5994, 0.0705, 0.1915)
Se (0.7157, 0.2843, 0.7078)
Se (0.8045, 0.8720, 0.7008)
Se (0.8720, 0.8045, 0.2008)
Se (0.9295, 0.4006, 0.1915)

The calculation puts the formation energy (no corrections) at -1427 meV/atom. The final energy is -5.48 eV/atom. For the total moment, the calculation gives 0.000 μB per atom. Its space group is Cmc2_1. The crystal system is orthorhombic.


# 7
Material: Sm2SiSe
Method: DFT, PBE
State: optimized geometry

a = 4.2637 Å, b = 22.7748 Å, c = 4.0434 Å
α = 90.00°, β = 90.00°, γ = 90.00°
Sites, in units of the cell vectors:
Sm (0.0000, 0.0640, 0.2500)
Sm (0.0000, 0.3261, 0.2500)
Sm (0.0000, 0.6739, 0.7500)
Sm (0.0000, 0.9360, 0.7500)
Sm (0.5000, 0.1739, 0.7500)
Sm (0.5000, 0.4360, 0.7500)
Sm (0.5000, 0.5640, 0.2500)
Sm (0.5000, 0.8261, 0.2500)
Si (0.0000, 0.4617, 0.2500)
Si (0.0000, 0.5383, 0.7500)
Si (0.5000, 0.0383, 0.7500)
Si (0.5000, 0.9617, 0.2500)
Se (0.0000, 0.1927, 0.2500)
Se (0.0000, 0.8073, 0.7500)
Se (0.5000, 0.3073, 0.7500)
Se (0.5000, 0.6927, 0.2500)

The calculation puts the formation energy (no corrections) at -1316 meV/atom. For the energy relative to the lowest polymorph listed for this composition, the calculation gives 14.5 meV per atom. The final energy is -5.90 eV/atom. For the total moment, the calculation gives 0.000 μB per atom. Its space group is Cmcm. The crystal system is orthorhombic.


# 8
Material: Sm2SiSe
Method: DFT, PBE
State: optimized geometry

a = 4.1460 Å, b = 4.1460 Å, c = 21.7558 Å
α = 90.00°, β = 90.00°, γ = 120.00°
Sites, in units of the cell vectors:
Sm (0.0000, 0.0000, 0.0000)
Sm (0.0000, 0.0000, 0.1799)
Sm (0.3333, 0.6667, 0.6667)
Sm (0.3333, 0.6667, 0.8466)
Sm (0.6667, 0.3333, 0.3333)
Sm (0.6667, 0.3333, 0.5132)
Si (0.0000, 0.0000, 0.5895)
Si (0.3333, 0.6667, 0.2561)
Si (0.6667, 0.3333, 0.9228)
Se (0.0000, 0.0000, 0.7587)
Se (0.3333, 0.6667, 0.4254)
Se (0.6667, 0.3333, 0.0920)

The calculation puts the formation energy (no corrections) at -1199 meV/atom. For the energy relative to the lowest polymorph listed for this composition, the calculation gives 131.2 meV per atom. The final energy is -5.79 eV/atom. For the total moment, the calculation gives 0.000 μB per atom. Its space group is R3m. The crystal system is trigonal.